w.
The following is a PBE-GGA calculation of crystalline TbNdCuAu at its relaxed geometry, from Alexandria via LeMat-Bulk.

Output
D(E_F) = 3.8 states/eV per cell

Unit cell a=5.115 b=5.115 c=5.115 alpha=60.00 beta=60.00 gamma=60.00
Sites, in units of the cell vectors:
1 Tb 0.000 0.000 0.000
2 Au 0.250 0.250 0.250
3 Cu 0.750 0.750 0.750
4 Nd 0.500 0.500 0.500



x.
The following is a PBE-GGA calculation of crystalline TbNdCuAu at its relaxed geometry, from Alexandria via LeMat-Bulk.

Output
D(E_F) = 2.8 states/eV per cell

Unit cell a=3.848 b=4.594 c=5.827 alpha=90.00 beta=109.28 gamma=90.00
Sites, in units of the cell vectors:
1 Tb 0.138 0.000 0.276
2 Nd 0.860 0.500 0.720
3 Cu 0.423 0.000 0.847
4 Au 0.579 0.500 0.157



Which structure above is the least stable? It is w.